1.
DFT (PBE-GGA) results for a geometry-optimized CsPIrS2 structure.

Cell: 5.207 5.207 5.675 Å, 90.00 90.00 90.00°
Space group P4/mmm (No. 123)
One atom of each set of equivalent atoms:
Cs  0.000  0.000  0.000 [1 per cell]
P  0.000  0.000  0.500 [1 per cell]
Ir  0.500  0.500  0.500 [1 per cell]
S  0.000  0.500  0.000 [2 per cell]

Results
E_form (uncorrected)   2.608 eV/atom
DOS at the Fermi energy   12.6 states/eV/cell

---

2.
DFT (PBE-GGA) results for a geometry-optimized CsP2IrSe8 structure.

Cell: 6.1260 6.1260 33.2007 Å, 90.00 90.00 120.00°
Space group R-3 (No. 148, hexagonal axes)
One atom of each set of equivalent atoms:
Cs  0.0000  0.0000  0.0000 [3 per cell]
P  0.0000  0.0000  0.2304 [6 per cell]
Ir  0.0000  0.0000  0.5000 [3 per cell]
Se  0.0000  0.0000  0.2955 [6 per cell]
Se  0.0156  0.3680  0.7895 [18 per cell]

Results
E_form (uncorrected)   -0.212 eV/atom
DOS at the Fermi energy   27.5 states/eV/cell

---

3.
DFT (PBE-GGA) results for a geometry-optimized CsSnPIr structure.

Cell: 4.067 4.067 14.118 Å, 90.00 90.00 90.00°
Space group P4/nmm (No. 129, origin choice 2)
One atom of each set of equivalent atoms:
Cs  0.250  0.250  0.244 [2 per cell]
Sn  0.250  0.750  0.500 [2 per cell]
P  0.250  0.250  0.912 [2 per cell]
Ir  0.250  0.750  0.000 [2 per cell]

Results
Energy relative to the elements   -0.3920 eV per atom
DOS at the Fermi energy   3.4 states/eV/cell

---

4.
DFT (PBE-GGA) results for a geometry-optimized CsTlP2Ir structure.

Cell: 4.719 4.719 5.936 Å, 90.00 90.00 90.00°
Space group P4/mmm (No. 123)
One atom of each set of equivalent atoms:
Cs  0.000  0.000  0.000 [1 per cell]
Tl  0.500  0.500  0.000 [1 per cell]
P  0.000  0.500  0.500 [2 per cell]
Ir  0.500  0.500  0.500 [1 per cell]

Results
Energy relative to the elements   0.2770 eV per atom
DOS at the Fermi energy   4.3 states/eV/cell

---

5.
DFT (PBE-GGA) results for a geometry-optimized CsZn2PIr structure.

Cell: 5.083 5.083 4.571 Å, 90.00 90.00 90.00°
Space group P4/mmm (No. 123)
One atom of each set of equivalent atoms:
Cs  0.000  0.000  0.000 [1 per cell]
Zn  0.000  0.500  0.500 [2 per cell]
P  0.500  0.500  0.000 [1 per cell]
Ir  0.500  0.500  0.500 [1 per cell]

Results
Energy relative to the elements   -0.1062 eV per atom
DOS at the Fermi energy   2.5 states/eV/cell

---

6.
DFT (PBE-GGA) results for a geometry-optimized CsPaIrS4 structure.

Cell: 6.632 6.100 9.343 Å, 90.00 102.94 90.00°
Space group P2_1/m (No. 11)
One atom of each set of equivalent atoms:
Cs  0.241  0.250  0.037 [2 per cell]
Pa  0.249  0.250  0.538 [2 per cell]
Ir  0.247  0.750  0.399 [2 per cell]
S  0.010  0.503  0.688 [4 per cell]
S  0.448  0.750  0.224 [2 per cell]
S  0.466  0.750  0.620 [2 per cell]

Results
E_form (uncorrected)   -1.046 eV/atom
DOS at the Fermi energy   3.5 states/eV/cell

---

7.
DFT (PBE-GGA) results for a geometry-optimized CsIrPb3 structure.

Cell: 6.065 6.065 6.065 Å, 90.00 90.00 90.00°
Space group Pm-3m (No. 221)
One atom of each set of equivalent atoms:
Cs  0.000  0.000  0.000 [1 per cell]
Ir  0.500  0.500  0.500 [1 per cell]
Pb  0.000  0.000  0.500 [3 per cell]

Results
Energy relative to the elements   2.2886 eV per atom
Relative energy among the computed polymorphs   1991 meV/atom
DOS at the Fermi energy   11.4 states/eV/cell

---

8.
DFT (PBE-GGA) results for a geometry-optimized CsIrPb2 structure.

Cell: 7.593 7.593 7.593 Å, 90.00 90.00 90.00°
Space group Fm-3m (No. 225)
One atom of each set of equivalent atoms:
Cs  0.000  0.000  0.000 [4 per cell]
Ir  0.000  0.000  0.500 [4 per cell]
Pb  0.250  0.250  0.250 [8 per cell]

Results
Energy relative to the elements   0.6705 eV per atom
Relative energy among the computed polymorphs   512 meV/atom
DOS at the Fermi energy   8.7 states/eV/cell